{
  "formula": "BaSr2N2",
  "functional": "PBE-GGA",
  "state": "optimized geometry",
  "cell": [[7.689, 0.000, 0.000], [0.000, 7.689, 0.000], [0.000, 0.000, 3.370]],
  "species": ["Ba", "Ba", "Sr", "Sr", "Sr", "Sr", "N", "N", "N", "N"],
  "fractional_positions": [[0.000, 0.000, 0.000], [0.500, 0.500, 0.000], [0.130, 0.370, 0.000], [0.370, 0.870, 0.000], [0.630, 0.130, 0.000], [0.870, 0.630, 0.000], [0.177, 0.677, 0.500], [0.323, 0.177, 0.500], [0.677, 0.823, 0.500], [0.823, 0.323, 0.500]]
}

{
  "formula": "Ba3SrN",
  "functional": "PBE-GGA",
  "state": "optimized geometry",
  "cell": [[5.941, 0.000, 0.000], [0.000, 5.941, 0.000], [0.000, 0.000, 5.941]],
  "species": ["Ba", "Ba", "Ba", "Sr", "N"],
  "fractional_positions": [[0.000, 0.000, 0.500], [0.000, 0.500, 0.000], [0.500, 0.000, 0.000], [0.500, 0.500, 0.500], [0.000, 0.000, 0.000]]
}

{
  "formula": "Ba2SrN",
  "functional": "PBE-GGA",
  "state": "optimized geometry",
  "cell": [[-2.067, 7.167, 2.743], [2.067, -7.167, 2.743], [2.067, 7.167, -2.743]],
  "species": ["Ba", "Ba", "Sr", "N"],
  "fractional_positions": [[0.131, 0.000, 0.131], [0.869, 0.000, 0.869], [0.505, 0.005, 0.500], [0.990, 0.490, 0.500]]
}

no.,formation energy from raw total energies (eV per atom)
1,0.17
2,-0.05
3,-0.26